# TlTcAs

A relaxed TlTcAs crystal (PBE-GGA, the Open Quantum Materials Database).

E	-5.207	eV per atom
M_tot	0.034	μB/cell

Unit cell a=4.463 b=4.463 c=4.463 alpha=60.00 beta=60.00 gamma=60.00
Element x y z (fractional)
As1 0.250 0.250 0.250
Tc1 0.000 0.000 0.000
Tl1 0.750 0.750 0.750

# TaReAsAu

A relaxed TaReAsAu crystal (PBE-GGA, the Open Quantum Materials Database).

E	-7.568	eV per atom
M_tot	0.010	μB/cell

Unit cell a=4.592 b=4.592 c=4.592 alpha=60.00 beta=60.00 gamma=60.00
Element x y z (fractional)
As1 0.500 0.500 0.500
Au1 0.750 0.750 0.750
Re1 0.250 0.250 0.250
Ta1 0.000 0.000 0.000

# InCuW2

A relaxed InCuW2 crystal (PBE-GGA, the Open Quantum Materials Database).

E	-7.528	eV per atom
M_tot	0.000	μB/cell

Unit cell a=4.529 b=4.529 c=4.529 alpha=60.00 beta=60.00 gamma=60.00
Element x y z (fractional)
Cu1 0.250 0.250 0.250
In1 0.500 0.500 0.500
W1 0.000 0.000 0.000
W2 0.750 0.750 0.750

# HfNbAsC

A relaxed HfNbAsC crystal (PBE-GGA, the Open Quantum Materials Database).

E	-9.313	eV per atom
M_tot	0.000	μB/cell

Unit cell a=3.370 b=3.370 c=12.329 alpha=90.00 beta=90.00 gamma=120.00
Element x y z (fractional)
As1 0.333 0.667 0.259
As2 0.667 0.333 0.741
C1 0.000 0.000 0.000
C2 0.000 0.000 0.500
Hf1 0.667 0.333 0.100
Hf2 0.333 0.667 0.900
Nb1 0.667 0.333 0.408
Nb2 0.333 0.667 0.592

# BaErTlTe3

A relaxed BaErTlTe3 crystal (PBE-GGA, the Open Quantum Materials Database).

E	-4.075	eV per atom
M_tot	0.001	μB/cell

Unit cell a=8.017 b=8.017 c=12.055 alpha=90.00 beta=90.00 gamma=146.55
Element x y z (fractional)
Ba1 0.260 0.740 0.250
Ba2 0.740 0.260 0.750
Er1 0.500 0.500 0.000
Er2 0.500 0.500 0.500
Te1 0.859 0.141 0.022
Te2 0.591 0.409 0.250
Te3 0.859 0.141 0.478
Te4 0.141 0.859 0.522
Te5 0.409 0.591 0.750
Te6 0.141 0.859 0.978
Tl1 0.961 0.039 0.250
Tl2 0.039 0.961 0.750